# 1
Entry from the Alexandria database: crystalline OsPb2Br at its relaxed geometry (PBE).

Summary:
Energy above the most stable polymorph in this dataset: 280 meV/atom
Formation energy without anion corrections: 0.6798 eV/atom

a b c (Å): 7.2605 7.2605 7.2605
angles (deg): 154.40 141.77 46.58
Sites, in units of the cell vectors:
1 Pb 0.0733 0.0733 0.0000
2 Pb 0.4267 0.4267 0.0000
3 Os 0.2500 0.7500 0.5000
4 Br 0.7500 0.2500 0.5000

# 2
Entry from the Alexandria database: crystalline ReSbSe at its relaxed geometry (PBE).

Summary:
Energy above the most stable polymorph in this dataset: 408 meV/atom
Formation energy without anion corrections: 0.5239 eV/atom

a b c (Å): 8.5712 8.2386 3.1939
angles (deg): 84.97 73.24 21.79
Sites, in units of the cell vectors:
1 Re 0.0102 0.0102 0.9898
2 Sb 0.3628 0.3628 0.6372
3 Se 0.6270 0.6270 0.3730

# 3
Entry from the Alexandria database: crystalline CaLa4Ho at its relaxed geometry (PBE).

Summary:
Energy of formation from the pure elements: 0.031 eV per atom

a b c (Å): 3.7594 3.7594 15.6380
angles (deg): 90.00 90.00 90.00
Sites, in units of the cell vectors:
1 La 0.5000 0.5000 0.1838
2 La 0.0000 0.0000 0.3423
3 La 0.5000 0.5000 0.8162
4 La 0.0000 0.0000 0.6577
5 Ca 0.0000 0.0000 0.0000
6 Ho 0.5000 0.5000 0.5000